# 1
The following is a DFT calculation (PBE-GGA) of TiTe after structural relaxation.

As for the final energy: -6.127 eV/atom. The calculation puts the density of states at the Fermi level at 1.530 states/eV/f.u. Its formation energy from raw total energies is -609 meV/atom.

Cell: 3.6824 3.6824 7.2667 Å, 90.00 90.00 120.00°
With the nearest neighbours (Å) after each atom.
Space group P6_3/mmc (No. 194)
Symmetry-distinct sites (fractional):
Ti 0.0000 0.0000 0.0000  6 Te 2.80
Te 0.3333 0.6667 0.2500  6 Ti 2.80



# 2
The following is a DFT calculation (PBE-GGA) of Ti5Te after structural relaxation.

As for the final energy: -7.285 eV/atom. The calculation puts the energy above the most stable polymorph in this dataset at 0 meV per atom. The calculation puts the density of states at the Fermi level at 8.301 states/eV/f.u. Its formation energy from raw total energies is -182 meV/atom.

Cell: 4.0261 13.1961 4.0097 Å, 90.00 90.00 90.00°
With the nearest neighbours (Å) after each atom.
Space group Cmmm (No. 65)
Symmetry-distinct sites (fractional):
Ti 0.0000 0.0000 0.0000  4 Te 2.84, 8 Ti 3.03
Ti 0.0000 0.1721 0.5000  10 Ti 2.84-3.03, 2 Te 3.03
Ti 0.0000 0.3282 0.0000  10 Ti 2.84-3.03, 2 Te 3.03
Te 0.0000 0.5000 0.5000  12 Ti 2.84-3.03



# 3
The following is a DFT calculation (PBE-GGA) of TiTe4 after structural relaxation.

As for the final energy: -4.340 eV/atom. The calculation puts the density of states at the Fermi level at 4.318 states/eV/f.u. Its formation energy from raw total energies is -248 meV/atom.

Cell: 7.0624 7.0624 11.7429 Å, 90.00 90.00 90.00°
With the nearest neighbours (Å) after each atom.
Space group I4_1/a (No. 88, origin choice 2)
Symmetry-distinct sites (fractional):
Ti 0.0000 0.2500 0.1250  8 Te 2.84-2.99
Te 0.1781 0.0302 0.3144  2 Ti 2.84-2.99, 2 Te 3.04



# 4
The following is a DFT calculation (PBE-GGA) of TiTe4 after structural relaxation.

As for the final energy: -4.053 eV/atom. The calculation puts the density of states at the Fermi level at 6.506 states/eV/f.u. Its formation energy from raw total energies is 40 meV/atom.

Cell: 5.3202 5.3202 5.3202 Å, 90.00 90.00 90.00°
With the nearest neighbours (Å) after each atom.
Space group Pm-3m (No. 221)
Symmetry-distinct sites (fractional):
Ti 0.0000 0.0000 0.0000  6 Te 2.66
Te 0.0000 0.0000 0.5000  2 Ti 2.66
Te 0.5000 0.5000 0.5000  12 Te 3.76



# 5
The following is a DFT calculation (PBE-GGA) of TiTe after structural relaxation.

As for the final energy: -5.672 eV/atom. The calculation puts the density of states at the Fermi level at 4.801 states/eV/f.u. Its formation energy from raw total energies is -153 meV/atom.

Cell: 6.3746 6.3746 6.3746 Å, 90.00 90.00 90.00°
With the nearest neighbours (Å) after each atom.
Space group F-43m (No. 216)
Symmetry-distinct sites (fractional):
Ti 0.0000 0.0000 0.0000  4 Te 2.76
Te 0.2500 0.2500 0.7500  4 Ti 2.76



# 6
The following is a DFT calculation (PBE-GGA) of Ti3Te after structural relaxation.

As for the final energy: -7.037 eV/atom. The calculation puts the density of states at the Fermi level at 3.331 states/eV/f.u. Its formation energy from raw total energies is -331 meV/atom.

Cell: 6.1777 3.6085 7.1190 Å, 90.00 109.65 90.00°
With the nearest neighbours (Å) after each atom.
Space group P2_1/m (No. 11)
Symmetry-distinct sites (fractional):
Ti 0.0619 0.2500 0.3822  7 Ti 2.74-2.98, 2 Te 2.84
Ti 0.2974 0.2500 0.8813  6 Ti 2.82-3.09, 3 Te 2.84-2.92
Ti 0.3972 0.7500 0.6165  3 Te 2.82-2.97, 7 Ti 2.82-3.01
Te 0.2551 0.7500 0.1743  8 Ti 2.82-2.97



# 7
The following is a DFT calculation (PBE-GGA) of Ti3Te after structural relaxation.

As for the final energy: -6.963 eV/atom. The calculation puts the density of states at the Fermi level at 6.606 states/eV/f.u. Its formation energy from raw total energies is -257 meV/atom.

Cell: 5.8085 5.8085 4.8400 Å, 90.00 90.00 120.00°
With the nearest neighbours (Å) after each atom.
Space group P6_3/mmc (No. 194)
Symmetry-distinct sites (fractional):
Ti 0.1612 0.3223 0.2500  8 Ti 2.81-3.00, 4 Te 2.90-2.98
Te 0.3333 0.6667 0.7500  12 Ti 2.90-2.98



# 8
The following is a DFT calculation (PBE-GGA) of TiTe after structural relaxation.

As for the final energy: -6.200 eV/atom. The calculation puts the density of states at the Fermi level at 1.472 states/eV/f.u. Its formation energy from raw total energies is -682 meV/atom.

Cell: 3.5769 3.5769 7.3104 Å, 90.00 90.00 90.00°
With the nearest neighbours (Å) after each atom.
Space group P4/nmm (No. 129, origin choice 2)
Symmetry-distinct sites (fractional):
Ti 0.2500 0.2500 0.1078  5 Te 2.83-2.85, 4 Ti 2.98
Te 0.2500 0.2500 0.7181  5 Ti 2.83-2.85



# 9
The following is a DFT calculation (PBE-GGA) of TiTlTe4 after structural relaxation.

As for the final energy: -4.142 eV/atom. The calculation puts the energy above the most stable polymorph in this dataset at 3 meV per atom. The calculation puts the density of states at the Fermi level at 2.753 states/eV/f.u. Its formation energy from raw total energies is -337 meV/atom.

Cell: 8.2239 14.2978 6.7599 Å, 90.00 110.94 90.00°
With the nearest neighbours (Å) after each atom.
Space group C2/c (No. 15)
Symmetry-distinct sites (fractional):
Ti 0.0000 0.0013 0.2500  8 Te 2.85-2.96
Tl 0.0000 0.3716 0.2500  6 Te 3.28-3.57
Te 0.0769 0.1559 0.5353  2 Ti 2.85-2.87, 1 Te 2.90
Te 0.2261 0.4185 0.8783  1 Te 2.90, 2 Ti 2.92-2.96



# 10
The following is a DFT calculation (PBE-GGA) of TiTl2Te2 after structural relaxation.

As for the final energy: -4.180 eV/atom. The calculation puts the density of states at the Fermi level at 4.499 states/eV/f.u. Its formation energy from raw total energies is -398 meV/atom.

Cell: 6.5230 3.7703 12.0024 Å, 90.00 100.27 90.00°
With the nearest neighbours (Å) after each atom.
Space group C2/m (No. 12)
Symmetry-distinct sites (fractional):
Ti 0.0000 0.0000 0.0000  6 Te 2.78
Tl 0.2035 0.0000 0.6136  9 Tl 3.45-3.77, 3 Te 3.56-3.58
Te 0.1183 0.5000 0.8530  3 Ti 2.78



# 11
The following is a DFT calculation (PBE-GGA) of TiTl7Te6 after structural relaxation.

As for the final energy: -3.411 eV/atom. The calculation puts the density of states at the Fermi level at 7.090 states/eV/f.u. Its formation energy from raw total energies is -317 meV/atom.

Cell: 8.3720 13.1169 19.6280 Å, 90.00 90.00 90.00°
With the nearest neighbours (Å) after each atom.
Space group Ibam (No. 72)
Symmetry-distinct sites (fractional):
Ti 0.0000 0.0000 0.2500  4 Te 2.63
Tl 0.0000 0.5000 0.2500  4 Te 3.25
Tl 0.1972 0.1675 0.1148  4 Te 3.29-3.60
Tl 0.2107 0.0704 0.5000  4 Te 3.16-3.47
Te 0.0165 0.2889 0.5000  6 Tl 3.16-3.34
Te 0.1982 0.1078 0.3249  1 Ti 2.63



# 12
The following is a DFT calculation (PBE-GGA) of TiTlTe4 after structural relaxation.

As for the final energy: -4.145 eV/atom. The calculation puts the energy above the most stable polymorph in this dataset at 0 meV per atom. The calculation puts the density of states at the Fermi level at 1.789 states/eV/f.u. Its formation energy from raw total energies is -340 meV/atom.

Cell: 15.1787 8.7648 6.1217 Å, 90.00 90.91 90.00°
With the nearest neighbours (Å) after each atom.
Space group C2/m (No. 12)
Symmetry-distinct sites (fractional):
Ti 0.0122 0.0000 0.2691  7 Te 2.78-3.05, 1 Ti 2.86
Tl 0.1789 0.5000 0.2370  8 Te 3.54-3.71
Te 0.0000 0.2610 0.0000  2 Ti 2.82, 2 Te 3.15
Te 0.1171 0.1992 0.5891  2 Ti 2.78-3.05, 1 Te 2.99
Te 0.1951 0.0000 0.2470  1 Ti 2.78, 2 Te 2.99